No. 1
A PBEsol-optimized structure of MnFeReAg2, computed with SCAN.

Cell lengths 4.624, 4.624, 3.874 Å; angles 90.00, 90.00, 90.00 degrees
Space group P4/mmm (No. 123)
Unique sites:
Mn (0.000, 0.000, 0.000) x1
Fe (0.000, 0.000, 0.500) x1
Re (0.500, 0.500, 0.500) x1
Ag (0.000, 0.500, 0.000) x2

Properties
ΔH_f (0 K) (kJ/mol of atoms): 191.8

=====

No. 2
A PBEsol-optimized structure of SrBePO2, computed with SCAN.

Cell lengths 4.036, 4.036, 3.968 Å; angles 90.00, 90.00, 90.00 degrees
Space group P4/mmm (No. 123)
Unique sites:
Sr (0.000, 0.000, 0.000) x1
Be (0.500, 0.500, 0.500) x1
P (0.500, 0.500, 0.000) x1
O (0.000, 0.500, 0.500) x2

Properties
Formation energy (no corrections) (meV/atom): -878

=====

No. 3
A PBEsol-optimized structure of SbPtI2F, computed with SCAN.

Cell lengths 5.410, 5.410, 5.070 Å; angles 90.00, 90.00, 90.00 degrees
Space group P4/mmm (No. 123)
Unique sites:
Sb (0.000, 0.000, 0.000) x1
Pt (0.000, 0.000, 0.500) x1
I (0.000, 0.500, 0.500) x2
F (0.500, 0.500, 0.000) x1

Properties
E above lowest polymorph (eV/atom): 0.000
Formation energy (no corrections) (meV/atom): 81

=====

Number 1: electronic total energy -160.276 eV for the cell shown. Number 2: electronic total energy -53.878 eV for the cell shown. Number 3: electronic total energy -184.070 eV for the cell shown.